[1]
Compound: Pm2MgAg2
Source: Alexandria
Functional: PBE
Structure: relaxed

extended XYZ file:
```
10
Lattice="-2.512 -1.069 2.937 -1.690 -6.841 -3.935 6.060 -3.703 3.834" Properties=species:S:1:pos:R:3 pbc="T T T"
Ag 2.035 -2.254 0.919
Ag -0.284 -4.774 -1.980
Ag 4.653 -5.769 1.880
Ag 2.335 -8.289 -1.020
Mg 0.000 0.000 0.000
Mg 2.185 -5.272 -0.050
Pm 2.516 -4.177 3.369
Pm -0.785 -3.422 0.821
Pm 2.642 -8.191 2.016
Pm -0.658 -7.436 -0.532
```

Output
- uncorrected energy (eV/f.u.) = -18.1
- space-group type = P4/mbm

***

[2]
Compound: NbAl3Hg
Source: Alexandria
Functional: PBE
Structure: relaxed

extended XYZ file:
```
5
Lattice="-2.574 -1.076 4.026 4.008 -1.937 2.045 1.143 4.369 1.898" Properties=species:S:1:pos:R:3 pbc="T T T"
Al -1.287 -0.538 2.013
Al 2.004 -0.969 1.022
Al 0.572 2.184 0.949
Nb 1.288 0.678 3.985
Hg 0.000 0.000 0.000
```

Output
- uncorrected energy (eV/f.u.) = -15.6
- space-group type = Pm-3m

***

[3]
Compound: KMg
Source: Alexandria
Functional: PBE
Structure: relaxed

extended XYZ file:
```
6
Lattice="-0.040 -8.777 -1.446 0.807 -8.610 2.087 -7.881 -4.616 2.109" Properties=species:S:1:pos:R:3 pbc="T T T"
Mg -4.162 -19.697 1.931
Mg -3.281 -8.737 1.201
Mg -6.286 -9.049 1.936
K 0.093 -15.998 0.736
K -4.628 -14.501 1.797
K -1.127 -11.748 0.827
```

Output
- uncorrected energy (eV/f.u.) = -2.3
- space-group type = Cm

***

[4]
Compound: CoCuOs2
Source: Alexandria
Functional: PBE
Structure: relaxed

extended XYZ file:
```
4
Lattice="4.597 0.005 -0.005 3.823 2.553 -0.005 0.765 0.232 4.432" Properties=species:S:1:pos:R:3 pbc="T T T"
Os 6.923 2.103 3.369
Os 0.782 0.237 4.370
Cu 2.287 0.695 1.179
Co 4.551 1.383 2.147
```

Output
- uncorrected energy (eV/f.u.) = -32.6
- space-group type = Cm

***

Calculated energy relative to the elements (eV per atom), listed in the same order as above: -0.252, 1.191, 0.175, 0.267